KSmAuSe3: relaxed, GGA-PBE.

Computed properties:
SG   Cmcm
Crystal system   orthorhombic
E_tot   -4.37 eV/atom

Structure (POSCAR):
```
KSmAuSe3
1.0
-1.5080 4.7050 -6.3003
-1.2532 -6.8072 4.0244
-8.0727 4.7062 5.4467
Sm Se Au K
2 6 2 2
direct
0.0000 0.0000 0.0000
0.0000 0.0000 0.5000
0.3701 0.6299 0.9422
0.3701 0.6299 0.5578
0.0799 0.9201 0.7500
0.9201 0.0799 0.2500
0.6299 0.3701 0.0578
0.6299 0.3701 0.4422
0.4711 0.5289 0.7500
0.5289 0.4711 0.2500
0.2441 0.7559 0.2500
0.7559 0.2441 0.7500
```